No. 1
The following is a DFT calculation (PBE) of a relaxed NbGeW2 crystal.

```
data_NbGeW2
_cell_length_a 7.5024
_cell_length_b 7.5024
_cell_length_c 5.1419
_cell_angle_alpha 90.00
_cell_angle_beta 90.00
_cell_angle_gamma 90.00
_symmetry_space_group_name_H-M 'I -4 2 d'
_symmetry_Int_Tables_number 122
_symmetry_space_group_name_Hall 'I -4 2bw'
loop_
_atom_site_label
_atom_site_type_symbol
_atom_site_fract_x
_atom_site_fract_y
_atom_site_fract_z
_atom_site_occupancy
Nb1 Nb 0.0000 0.0000 0.0000 1
Ge1 Ge 0.0000 0.0000 0.5000 1
W1 W 0.2026 0.7500 0.6250 1
```

Values from the calculation:
Volume, Å³/cell: 289.4
E, eV/atom: -9.2931

***

No. 2
The following is a DFT calculation (PBE) of a relaxed Y2NbGe crystal.

```
data_Y2NbGe
_cell_length_a 8.1962
_cell_length_b 8.1962
_cell_length_c 5.7924
_cell_angle_alpha 90.00
_cell_angle_beta 90.00
_cell_angle_gamma 90.00
_symmetry_space_group_name_H-M 'I -4 2 d'
_symmetry_Int_Tables_number 122
_symmetry_space_group_name_Hall 'I -4 2bw'
loop_
_atom_site_label
_atom_site_type_symbol
_atom_site_fract_x
_atom_site_fract_y
_atom_site_fract_z
_atom_site_occupancy
Y1 Y 0.2211 0.2500 0.1250 1
Nb1 Nb 0.0000 0.0000 0.5000 1
Ge1 Ge 0.0000 0.0000 0.0000 1
```

Values from the calculation:
Volume, Å³/cell: 389.1
E, eV/atom: -6.6189

***

No. 3
The following is a DFT calculation (PBE) of a relaxed Y2Nb2Ge crystal.

```
data_Y2Nb2Ge
_cell_length_a 7.0292
_cell_length_b 7.0292
_cell_length_c 4.6519
_cell_angle_alpha 90.00
_cell_angle_beta 90.00
_cell_angle_gamma 90.00
_symmetry_space_group_name_H-M 'P 4/m b m'
_symmetry_Int_Tables_number 127
_symmetry_space_group_name_Hall '-P 4 2ab'
loop_
_atom_site_label
_atom_site_type_symbol
_atom_site_fract_x
_atom_site_fract_y
_atom_site_fract_z
_atom_site_occupancy
Y1 Y 0.1708 0.3292 0.0000 1
Nb1 Nb 0.1354 0.6354 0.5000 1
Ge1 Ge 0.0000 0.0000 0.5000 1
```

Values from the calculation:
Volume, Å³/cell: 229.8
E, eV/atom: -7.5727

***

No. 4
The following is a DFT calculation (PBE) of a relaxed Y2NbGe2 crystal.

```
data_Y2NbGe2
_cell_length_a 7.2332
_cell_length_b 7.2332
_cell_length_c 4.1634
_cell_angle_alpha 90.00
_cell_angle_beta 90.00
_cell_angle_gamma 90.00
_symmetry_space_group_name_H-M 'P 4/m b m'
_symmetry_Int_Tables_number 127
_symmetry_space_group_name_Hall '-P 4 2ab'
loop_
_atom_site_label
_atom_site_type_symbol
_atom_site_fract_x
_atom_site_fract_y
_atom_site_fract_z
_atom_site_occupancy
Y1 Y 0.1745 0.3255 0.0000 1
Nb1 Nb 0.0000 0.0000 0.5000 1
Ge1 Ge 0.1334 0.6334 0.5000 1
```

Values from the calculation:
Volume, Å³/cell: 217.8
E, eV/atom: -7.0865

***

No. 5
The following is a DFT calculation (PBE) of a relaxed YNb3Ge crystal.

```
data_YNb3Ge
_cell_length_a 4.8800
_cell_length_b 4.8800
_cell_length_c 4.8800
_cell_angle_alpha 90.00
_cell_angle_beta 90.00
_cell_angle_gamma 90.00
_symmetry_space_group_name_H-M 'P m -3 m'
_symmetry_Int_Tables_number 221
_symmetry_space_group_name_Hall '-P 4 2 3'
loop_
_atom_site_label
_atom_site_type_symbol
_atom_site_fract_x
_atom_site_fract_y
_atom_site_fract_z
_atom_site_occupancy
Y1 Y 0.0000 0.0000 0.0000 1
Nb1 Nb 0.0000 0.5000 0.5000 1
Ge1 Ge 0.5000 0.5000 0.5000 1
```

Values from the calculation:
Volume, Å³/cell: 116.2
E above lowest polymorph, meV per atom: 0
E, eV/atom: -7.6988

***

No. 6
The following is a DFT calculation (PBE) of a relaxed YNb2Ge2 crystal.

```
data_YNb2Ge2
_cell_length_a 7.2966
_cell_length_b 7.2966
_cell_length_c 3.5391
_cell_angle_alpha 90.00
_cell_angle_beta 90.00
_cell_angle_gamma 90.00
_symmetry_space_group_name_H-M 'P 4/m b m'
_symmetry_Int_Tables_number 127
_symmetry_space_group_name_Hall '-P 4 2ab'
loop_
_atom_site_label
_atom_site_type_symbol
_atom_site_fract_x
_atom_site_fract_y
_atom_site_fract_z
_atom_site_occupancy
Y1 Y 0.0000 0.0000 0.0000 1
Nb1 Nb 0.1633 0.3367 0.5000 1
Ge1 Ge 0.1288 0.6288 0.0000 1
```

Values from the calculation:
Volume, Å³/cell: 188.4
E above lowest polymorph, meV per atom: 150
E, eV/atom: -7.6301